Here is an optimized crystal structure of MgGa5Pd3 from the Alexandria database. Energies are from PBE.

Cell and atoms, written as POSCAR:
```
MgGa5Pd3
1.0
4.617 -4.634 0.000
4.617 4.634 0.000
-2.735 0.000 8.273
Mg Ga Pd
2 10 6
Direct
0.247 0.247 0.247
0.753 0.753 0.753
0.240 0.240 0.577
0.241 0.241 0.916
0.251 0.719 0.661
0.265 0.735 0.000
0.281 0.749 0.339
0.719 0.251 0.661
0.735 0.265 0.000
0.749 0.281 0.339
0.759 0.759 0.084
0.760 0.760 0.423
0.000 0.000 0.000
0.004 0.004 0.667
0.489 0.489 0.831
0.500 0.500 0.500
0.511 0.511 0.169
0.996 0.996 0.333
```

Results
The total energy comes out at -70.90 eV for the cell shown. The density of states at the Fermi level comes out at 5.8 states/eV/cell. Its formation energy from the elements is -0.35 eV/atom.


Here is an optimized crystal structure of PaTcMo2 from the Alexandria database. Energies are from PBE.

Cell and atoms, written as POSCAR:
```
PaTcMo2
1.0
4.682 0.000 0.000
0.000 4.682 0.000
0.000 0.000 3.248
Pa Tc Mo
1 1 2
Direct
0.000 0.000 0.000
0.500 0.500 0.000
0.000 0.500 0.500
0.500 0.000 0.500
```

Results
The value obtained for the polymorph energy (0 for the lowest one) is 46.1 meV per atom. The total energy comes out at -40.86 eV for the cell shown. The density of states at the Fermi level comes out at 5.1 states/eV/cell. Its formation energy from the elements is 0.17 eV/atom.